1.
This record from Alexandria via LeMat-Bulk describes crystalline Mg6In12Tc at its relaxed geometry. The functional is PBE-GGA.

```
Mg6In12Tc
1.0
-1.2399 -2.7219 7.0643
5.6490 -5.1086 -0.9170
5.0610 4.9977 2.8738
In Mg Tc
12 6 1
Direct
0.9788 0.6422 0.8636
0.1364 0.0212 0.3578
0.4580 0.2019 0.5426
0.2019 0.5426 0.4580
0.8636 0.9788 0.6422
0.3578 0.1364 0.0212
0.4574 0.5420 0.7981
0.6422 0.8636 0.9788
0.0212 0.3578 0.1364
0.5420 0.7981 0.4574
0.5426 0.4580 0.2019
0.7981 0.4574 0.5420
0.2570 0.8942 0.7256
0.1058 0.2744 0.7430
0.7256 0.2570 0.8942
0.2744 0.7430 0.1058
0.8942 0.7256 0.2570
0.7430 0.1058 0.2744
0.0000 0.0000 0.0000
```

Values from the calculation:
Symmetry: R-3
E_tot (eV per atom): -2.78
DFT formation energy (meV per atom): -4

***

2.
This record from Alexandria via LeMat-Bulk describes crystalline MgPbI2 at its relaxed geometry. The functional is PBE-GGA.

```
MgPbI2
1.0
-3.5757 1.7695 -0.2070
-1.9691 0.9226 3.3512
2.8843 10.4776 1.1913
I Pb Mg
2 1 1
Direct
0.8887 0.8887 0.3338
0.1113 0.1113 0.6662
0.0000 0.0000 0.0000
0.5000 0.5000 0.5000
```

Values from the calculation:
Energy relative to the lowest polymorph listed for this composition (meV/atom): 0
Symmetry: R-3m
E_tot (eV per atom): -2.58
Formation energy without anion corrections (eV per atom): -0.4805

***

3.
This record from Alexandria via LeMat-Bulk describes crystalline CePmAlRh at its relaxed geometry. The functional is PBE-GGA.

```
CePmAlRh
1.0
-4.9545 -1.0477 0.5878
-2.5877 -2.2745 -3.7577
-1.5388 -4.8317 0.5260
Rh Al Pm Ce
1 1 1 1
Direct
0.0000 0.0000 0.0000
0.5000 0.5000 0.5000
0.7500 0.7500 0.7500
0.2500 0.2500 0.2500
```

Values from the calculation:
Symmetry: F-43m
E_tot (eV per atom): -5.83
DFT formation energy (meV per atom): -385

***

Q: Which formula does entry 3 have?
A: CePmAlRh